The following is a DFT calculation (meta-GGA SCAN) of YTl3Se at its PBEsol-relaxed geometry.

abc: 5.467 5.467 5.467
angles: 90.00 90.00 90.00
Element x y z (fractional)
1 Tl 0.500 0.000 0.000
2 Tl 0.000 0.000 0.500
3 Tl 0.000 0.500 0.000
4 Y 0.500 0.500 0.500
5 Se 0.000 0.000 0.000

Output
Total magnetic moment: 0.00 μB/f.u.
Space-group type: Pm-3m, No. 221
ΔE_f (raw): 0.369 eV/atom
Energy: -52.63 eV per atom